No. 1
Entry from the Alexandria database: a crystal of LiIrO2F relaxed with PBEsol (meta-GGA SCAN).

Structure (POSCAR):
```
LiIrO2F
1.0
-1.482 0.718 3.238
2.219 -2.421 1.552
4.341 4.600 0.967
Ir Li O F
1 1 2 1
direct
0.000 0.000 0.000
0.500 0.500 0.500
0.000 0.500 0.000
0.500 0.000 0.000
0.000 0.000 0.500
```

Output
total energy = -19.00 eV per atom
size of the total moment = 0.001 μB/cell
Fermi-level density of states = 1.781 states/eV/cell
symmetry = No. 123

---

No. 2
Entry from the Alexandria database: a crystal of Rb2LiIrF6 relaxed with PBEsol (meta-GGA SCAN).

Structure (POSCAR):
```
Rb2LiIrF6
1.0
5.811 0.000 0.000
2.906 5.033 0.000
2.906 1.678 4.745
Ir Li Rb F
1 1 2 6
direct
0.000 0.000 0.000
0.500 0.500 0.500
0.250 0.250 0.250
0.750 0.750 0.750
0.754 0.754 0.246
0.246 0.754 0.754
0.246 0.246 0.754
0.754 0.246 0.754
0.246 0.754 0.246
0.754 0.246 0.246
```

Output
total energy = -16.13 eV per atom
size of the total moment = 0.140 μB/cell
Fermi-level density of states = 0.000 states/eV/cell
symmetry = No. 225

---

No. 3
Entry from the Alexandria database: a crystal of LiIrRhF2 relaxed with PBEsol (meta-GGA SCAN).

Structure (POSCAR):
```
LiIrRhF2
1.0
3.854 0.000 0.000
0.000 3.854 0.000
0.000 0.000 5.514
Ir Rh Li F
1 1 1 2
direct
0.500 0.500 0.500
0.000 0.000 0.000
0.000 0.000 0.500
0.000 0.500 0.000
0.500 0.000 0.000
```

Output
total energy = -22.68 eV per atom
size of the total moment = 2.934 μB/cell
Fermi-level density of states = 7.424 states/eV/cell
symmetry = No. 123

---

No. 4
Entry from the Alexandria database: a crystal of Mg2IrF2 relaxed with PBEsol (meta-GGA SCAN).

Structure (POSCAR):
```
Mg2IrF2
1.0
4.087 0.000 0.000
0.000 4.087 0.000
-2.044 -2.044 4.221
Mg Ir F
2 1 2
direct
0.250 0.750 0.500
0.750 0.250 0.500
0.000 0.000 0.000
0.322 0.322 0.645
0.678 0.678 0.355
```

Output
total energy = -18.82 eV per atom
size of the total moment = 1.022 μB/cell
Fermi-level density of states = 2.995 states/eV/cell
symmetry = No. 139

---

No. 5
Entry from the Alexandria database: a crystal of MgIrF3 relaxed with PBEsol (meta-GGA SCAN).

Structure (POSCAR):
```
MgIrF3
1.0
-2.718 2.059 1.915
-0.748 -3.097 2.268
2.710 1.210 2.546
Mg Ir F
1 1 3
direct
0.000 0.000 0.000
0.500 0.500 0.500
0.000 0.500 0.000
0.000 0.000 0.500
0.500 0.000 0.000
```

Output
total energy = -18.86 eV per atom
size of the total moment = 2.439 μB/cell
Fermi-level density of states = 3.702 states/eV/cell
symmetry = No. 221

---

No. 6
Entry from the Alexandria database: a crystal of MnReIrF2 relaxed with PBEsol (meta-GGA SCAN).

Structure (POSCAR):
```
MnReIrF2
1.0
-2.351 -0.190 2.721
1.277 -3.250 0.877
3.845 2.453 3.493
Re Ir Mn F
1 1 1 2
direct
0.000 0.000 0.500
0.500 0.500 0.500
0.000 0.000 0.000
0.000 0.500 0.000
0.500 0.000 0.000
```

Output
total energy = -34.04 eV per atom
size of the total moment = 3.636 μB/cell
Fermi-level density of states = 2.291 states/eV/cell
symmetry = No. 123

---

Copy entry 3 word for word.
Entry from the Alexandria database: a crystal of LiIrRhF2 relaxed with PBEsol (meta-GGA SCAN).

Structure (POSCAR):
```
LiIrRhF2
1.0
3.854 0.000 0.000
0.000 3.854 0.000
0.000 0.000 5.514
Ir Rh Li F
1 1 1 2
direct
0.500 0.500 0.500
0.000 0.000 0.000
0.000 0.000 0.500
0.000 0.500 0.000
0.500 0.000 0.000
```

Output
total energy = -22.68 eV per atom
size of the total moment = 2.934 μB/cell
Fermi-level density of states = 7.424 states/eV/cell
symmetry = No. 123

---

Copy entry 1 word for word.
Entry from the Alexandria database: a crystal of LiIrO2F relaxed with PBEsol (meta-GGA SCAN).

Structure (POSCAR):
```
LiIrO2F
1.0
-1.482 0.718 3.238
2.219 -2.421 1.552
4.341 4.600 0.967
Ir Li O F
1 1 2 1
direct
0.000 0.000 0.000
0.500 0.500 0.500
0.000 0.500 0.000
0.500 0.000 0.000
0.000 0.000 0.500
```

Output
total energy = -19.00 eV per atom
size of the total moment = 0.001 μB/cell
Fermi-level density of states = 1.781 states/eV/cell
symmetry = No. 123

---

Question: Which of these has the lowest size of the total moment?
Answer: LiIrO2F